P:
This record from Alexandria via LeMat-Bulk describes an optimized crystal structure of LiRe3F. The functional is PBE.

Structure (extended XYZ):
```
5
Lattice="4.2034 0.0000 0.0000 0.0000 4.2034 0.0000 0.0000 0.0000 4.2034" Properties=species:S:1:pos:R:3 pbc="T T T"
Li 0.0000 0.0000 0.0000
Re 0.0000 2.1017 2.1017
Re 2.1017 0.0000 2.1017
Re 2.1017 2.1017 0.0000
F 2.1017 2.1017 2.1017
```

Its space group is Pm-3m, No. 221. The crystal system is cubic.

=====

Q:
This record from Alexandria via LeMat-Bulk describes an optimized crystal structure of LiRe3F. The functional is PBE.

Structure (extended XYZ):
```
5
Lattice="4.1699 0.0000 0.0000 0.0000 4.1699 0.0000 0.0000 0.0000 4.1699" Properties=species:S:1:pos:R:3 pbc="T T T"
Li 0.0000 0.0000 0.0000
Re 0.0000 0.0000 2.0849
Re 0.0000 2.0849 0.0000
Re 2.0849 0.0000 0.0000
F 2.0849 2.0849 2.0849
```

Its space group is Pm-3m, No. 221. The crystal system is cubic.

=====

The energy of each structure relative to the most stable one, in meV/atom, is as follows: P 0; Q 535.

=====

P:
This record from Alexandria via LeMat-Bulk describes an optimized crystal structure of Li2ZnReF. The functional is PBE.

Structure (extended XYZ):
```
5
Lattice="5.1728 0.0000 0.0000 0.0000 5.1728 0.0000 0.0000 0.0000 4.0028" Properties=species:S:1:pos:R:3 pbc="T T T"
Li 0.0000 2.5864 0.0000
Li 2.5864 0.0000 0.0000
Zn 0.0000 0.0000 2.0014
Re 2.5864 2.5864 0.0000
F 2.5864 2.5864 2.0014
```

Its space group is P4/mmm, No. 123. The crystal system is tetragonal.

=====

Q:
This record from Alexandria via LeMat-Bulk describes an optimized crystal structure of Li2ZnReF. The functional is PBE.

Structure (extended XYZ):
```
5
Lattice="3.6102 0.0000 0.0000 0.0000 3.6102 0.0000 0.0000 0.0000 5.4073" Properties=species:S:1:pos:R:3 pbc="T T T"
Li 0.0000 1.8051 0.0000
Li 1.8051 0.0000 0.0000
Zn 0.0000 0.0000 2.7037
Re 1.8051 1.8051 2.7037
F 0.0000 0.0000 0.0000
```

Its space group is P4/mmm, No. 123. The crystal system is tetragonal.

=====

The energy of each structure relative to the most stable one, in meV/atom, is as follows: P 782; Q 0.